[1]
This record from Alexandria describes UTl2CuS5 after structural relaxation. The functional is PBE.

Lattice parameters (Å, degrees): 3.944 9.006 13.390 90.00 90.00 102.65
Element x y z (fractional)
S  0.287  0.575  0.403
S  0.058  0.117  0.008
S  0.651  0.302  0.531
S  0.302  0.604  0.658
S  0.713  0.425  0.903
S  0.483  0.966  0.276
S  0.942  0.883  0.508
S  0.698  0.396  0.158
S  0.517  0.034  0.776
S  0.349  0.698  0.031
Tl  0.108  0.217  0.346
Tl  0.069  0.138  0.651
Tl  0.892  0.783  0.846
Tl  0.931  0.862  0.151
Cu  0.417  0.834  0.420
Cu  0.583  0.166  0.920
U  0.203  0.407  0.032
U  0.797  0.593  0.532

Values from the calculation:
Density of states at the Fermi level (states/eV/f.u.): 5.58
Formation energy without anion corrections (eV per atom): -0.65
DFT total energy (eV/atom): -5.183

***

[2]
This record from Alexandria describes TlVCu2S4 after structural relaxation. The functional is PBE.

Lattice parameters (Å, degrees): 6.001 6.001 6.341 118.19 118.19 90.09
Element x y z (fractional)
Cu  0.750  0.250  0.500
Cu  0.250  0.750  0.500
S  0.152  0.152  0.705
S  0.553  0.553  0.705
S  0.847  0.448  0.294
S  0.448  0.847  0.294
V  0.500  0.500  0.000
Tl  0.001  0.001  0.002

Values from the calculation:
Density of states at the Fermi level (states/eV/f.u.): 2.07
Formation energy without anion corrections (eV per atom): -0.45
DFT total energy (eV/atom): -4.975

***

[3]
This record from Alexandria describes TlCuWS4 after structural relaxation. The functional is PBE.

Lattice parameters (Å, degrees): 7.337 7.337 7.492 90.00 90.00 106.60
Element x y z (fractional)
W  0.123  0.877  0.250
W  0.877  0.123  0.750
S  0.786  0.805  0.750
S  0.228  0.772  0.496
S  0.228  0.772  0.004
S  0.214  0.195  0.250
S  0.805  0.786  0.250
S  0.772  0.228  0.996
S  0.772  0.228  0.504
S  0.195  0.214  0.750
Cu  0.889  0.111  0.250
Cu  0.111  0.889  0.750
Tl  0.500  0.500  0.000
Tl  0.500  0.500  0.500

Values from the calculation:
Formation energy without anion corrections (eV per atom): -0.41
DFT total energy (eV/atom): -5.547

***

[4]
This record from Alexandria describes YTlCuS2 after structural relaxation. The functional is PBE.

Lattice parameters (Å, degrees): 5.757 6.334 7.475 105.49 90.00 90.00
Element x y z (fractional)
Cu  0.000  0.000  0.000
Cu  0.000  0.000  0.500
Tl  0.803  0.500  0.250
Tl  0.197  0.500  0.750
S  0.717  0.237  0.565
S  0.717  0.763  0.935
S  0.283  0.763  0.435
S  0.283  0.237  0.065
Y  0.520  0.000  0.250
Y  0.480  0.000  0.750

Values from the calculation:
Density of states at the Fermi level (states/eV/f.u.): 1.74
Formation energy without anion corrections (eV per atom): -0.83
DFT total energy (eV/atom): -5.064

***

[5]
This record from Alexandria describes Y2TlCuS4 after structural relaxation. The functional is PBE.

Lattice parameters (Å, degrees): 3.966 7.095 13.799 90.00 90.00 106.23
Element x y z (fractional)
Y  0.634  0.268  0.063
Y  0.634  0.268  0.437
Y  0.366  0.732  0.563
Y  0.366  0.732  0.937
S  0.000  0.000  0.000
S  0.738  0.477  0.890
S  0.428  0.857  0.750
S  0.572  0.143  0.250
S  0.262  0.523  0.110
S  0.738  0.477  0.610
S  0.262  0.523  0.390
S  0.000  0.000  0.500
Cu  0.834  0.668  0.750
Cu  0.166  0.332  0.250
Tl  0.892  0.785  0.250
Tl  0.108  0.215  0.750

Values from the calculation:
Formation energy without anion corrections (eV per atom): -1.45
DFT total energy (eV/atom): -5.940

***

[6]
This record from Alexandria describes Zr2Tl2CuS6 after structural relaxation. The functional is PBE.

Lattice parameters (Å, degrees): 6.488 6.488 7.874 97.71 97.71 121.27
Element x y z (fractional)
S  0.932  0.588  0.303
S  0.068  0.412  0.697
S  0.250  0.250  0.328
S  0.412  0.068  0.697
S  0.588  0.932  0.303
S  0.750  0.750  0.672
Cu  0.000  0.000  0.500
Tl  0.163  0.837  0.000
Tl  0.837  0.163  0.000
Zr  0.669  0.331  0.500
Zr  0.331  0.669  0.500

Values from the calculation:
Density of states at the Fermi level (states/eV/f.u.): 5.60
Formation energy without anion corrections (eV per atom): -0.92
DFT total energy (eV/atom): -5.523